AcNdPb2 | GGA-PBE | relaxed

Output
VASP energy: -4.44 eV/atom
Size of the total moment: 0.0 μB/f.u.
Theoretical density: 8.4 g cm⁻³
Calculated formation energy: -0.36 eV/atom
SG: R3m, No. 160

a = 7.704 Å, b = 7.704 Å, c = 7.704 Å
α = 37.95°, β = 37.95°, γ = 37.95°
Element x y z (fractional)
Ac1 0.000 0.000 0.000
Nd1 0.175 0.175 0.175
Pb1 0.428 0.428 0.428
Pb2 0.578 0.578 0.578


Ac2NdPb | GGA-PBE | relaxed

Output
VASP energy: -4.08 eV/atom
Size of the total moment: 0.2 μB/f.u.
Theoretical density: 8.6 g cm⁻³
Calculated formation energy: 0.09 eV/atom
SG: R-3m, No. 166
Energy above the lowest structure with this stoichiometry: 0.3599 eV/atom

a = 13.067 Å, b = 13.067 Å, c = 13.067 Å
α = 16.46°, β = 16.46°, γ = 16.46°
Element x y z (fractional)
Ac1 0.092 0.092 0.092
Ac2 0.908 0.908 0.908
Nd1 0.000 0.000 0.000
Pb1 0.500 0.500 0.500


Ac8Nd2Pb | GGA-PBE | relaxed

Output
VASP energy: -4.21 eV/atom
Size of the total moment: 0.0 μB/f.u.
Theoretical density: 8.3 g cm⁻³
Calculated formation energy: -0.02 eV/atom
SG: C2/m, No. 12

a = 10.175 Å, b = 10.175 Å, c = 8.585 Å
α = 110.78°, β = 110.78°, γ = 34.15°
Element x y z (fractional)
Ac1 0.019 0.019 0.261
Ac2 0.178 0.178 0.728
Ac3 0.334 0.334 0.576
Ac4 0.391 0.391 0.062
Ac5 0.609 0.609 0.938
Ac6 0.666 0.666 0.424
Ac7 0.822 0.822 0.272
Ac8 0.981 0.981 0.739
Nd1 0.192 0.192 0.159
Nd2 0.808 0.808 0.841
Pb1 0.500 0.500 0.500


AcNd5Pb6 | GGA-PBE | relaxed

Output
VASP energy: -4.68 eV/atom
Size of the total moment: 0.0 μB/f.u.
Theoretical density: 9.8 g cm⁻³
Calculated formation energy: -0.50 eV/atom
SG: C2/m, No. 12
Energy above the lowest structure with this stoichiometry: 0.0000 eV/atom

a = 9.441 Å, b = 9.441 Å, c = 5.149 Å
α = 105.61°, β = 105.61°, γ = 58.74°
Element x y z (fractional)
Ac1 0.000 0.000 0.000
Nd1 0.169 0.169 0.668
Nd2 0.334 0.334 0.334
Nd3 0.500 0.500 0.000
Nd4 0.666 0.666 0.666
Nd5 0.831 0.831 0.332
Pb1 0.082 0.577 0.830
Pb2 0.256 0.744 0.500
Pb3 0.423 0.918 0.170
Pb4 0.577 0.082 0.830
Pb5 0.744 0.256 0.500
Pb6 0.918 0.423 0.170


AcNdPb | GGA-PBE | relaxed

Output
VASP energy: -3.96 eV/atom
Size of the total moment: 0.0 μB/f.u.
Theoretical density: 8.1 g cm⁻³
Calculated formation energy: 0.23 eV/atom
SG: I4mm, No. 107
Energy above the lowest structure with this stoichiometry: 0.6684 eV/atom

a = 9.757 Å, b = 9.757 Å, c = 9.757 Å
α = 159.08°, β = 159.08°, γ = 29.75°
Element x y z (fractional)
Ac1 0.000 0.000 0.000
Nd1 0.806 0.806 0.000
Pb1 0.637 0.637 0.000


AcNdPb | GGA-PBE | relaxed

Output
VASP energy: -4.44 eV/atom
Size of the total moment: 0.0 μB/f.u.
Theoretical density: 8.5 g cm⁻³
Calculated formation energy: -0.24 eV/atom
SG: P-6m2, No. 187
Energy above the lowest structure with this stoichiometry: 0.1927 eV/atom

a = 5.399 Å, b = 5.399 Å, c = 4.479 Å
α = 90.00°, β = 90.00°, γ = 120.00°
Element x y z (fractional)
Ac1 0.000 0.000 0.000
Nd1 0.667 0.333 0.500
Pb1 0.333 0.667 0.500